Here is AgOsF2 after structural relaxation from Alexandria via LeMat-Bulk. Energies are from GGA-PBE.

Volume ... 13.99 Å³/atom
Fermi-level density of states ... 0.48 states/eV per atom
Symmetry ... Fm-3m
Energy ... -4.1404 eV/atom
Theoretical density ... 9.98 g/cm³
Total magnetic moment ... 3.55 μB/f.u.

Lattice parameters (Å, degrees): 4.2930 4.2930 4.2930 60.00 60.00 60.00
Positions (direct):
1 Ag 0.0000 0.0000 0.0000
2 Os 0.5000 0.5000 0.5000
3 F 0.2500 0.2500 0.2500
4 F 0.7500 0.7500 0.7500

***

Here is Er2HfPb after structural relaxation from Alexandria via LeMat-Bulk. Energies are from GGA-PBE.

Volume ... 26.88 Å³/atom
Fermi-level density of states ... 0.72 states/eV per atom
Symmetry ... P4/mmm
ΔH_f (0 K) ... -0.1404 eV per atom
Energy ... -5.8373 eV/atom
Theoretical density ... 11.12 g/cm³
Total magnetic moment ... 0.00 μB/f.u.
Energy above the lowest structure with this stoichiometry ... 0 meV/atom

Lattice parameters (Å, degrees): 3.3651 3.3651 9.4938 90.00 90.00 90.00
Positions (direct):
1 Er 0.0000 0.0000 0.2437
2 Er 0.0000 0.0000 0.7563
3 Hf 0.5000 0.5000 0.0000
4 Pb 0.5000 0.5000 0.5000

***

Here is Ca3PuU2P6 after structural relaxation from Alexandria via LeMat-Bulk. Energies are from GGA-PBE.

Volume ... 23.44 Å³/atom
Fermi-level density of states ... 1.90 states/eV per atom
Symmetry ... C2/m
ΔH_f (0 K) ... -1.0908 eV per atom
Energy ... -7.3718 eV/atom
Theoretical density ... 6.06 g/cm³
Total magnetic moment ... 8.01 μB/f.u.

Lattice parameters (Å, degrees): 7.0097 7.0097 7.0117 99.59 99.59 119.99
Positions (direct):
1 Ca 0.0000 0.0000 0.0000
2 Ca 0.3349 0.6651 0.0000
3 Ca 0.6651 0.3349 0.0000
4 Pu 0.5000 0.5000 0.5000
5 U 0.1668 0.8332 0.5000
6 U 0.8332 0.1668 0.5000
7 P 0.0841 0.4247 0.2747
8 P 0.2346 0.2346 0.7261
9 P 0.4247 0.0841 0.2747
10 P 0.5753 0.9159 0.7253
11 P 0.7654 0.7654 0.2739
12 P 0.9159 0.5753 0.7253

***

Here is Zr2Be3Fe after structural relaxation from Alexandria via LeMat-Bulk. Energies are from GGA-PBE.

Volume ... 13.21 Å³/atom
Fermi-level density of states ... 0.80 states/eV per atom
Symmetry ... R-3m
ΔH_f (0 K) ... -0.1404 eV per atom
Energy ... -6.2633 eV/atom
Theoretical density ... 5.56 g/cm³
Total magnetic moment ... 0.69 μB/f.u.

Lattice parameters (Å, degrees): 4.8159 4.8159 4.8159 60.17 60.17 60.17
Positions (direct):
1 Zr 0.1267 0.1267 0.1267
2 Zr 0.8733 0.8733 0.8733
3 Be 0.0000 0.5000 0.5000
4 Be 0.5000 0.0000 0.5000
5 Be 0.5000 0.5000 0.0000
6 Fe 0.5000 0.5000 0.5000

***

Here is La6Sm5Y after structural relaxation from Alexandria via LeMat-Bulk. Energies are from GGA-PBE.

Volume ... 35.23 Å³/atom
Fermi-level density of states ... 1.56 states/eV per atom
Symmetry ... P-1
ΔH_f (0 K) ... 0.0161 eV per atom
Energy ... -4.9526 eV/atom
Theoretical density ... 6.58 g/cm³
Total magnetic moment ... 0.00 μB/f.u.
Energy above the lowest structure with this stoichiometry ... 0 meV/atom

Lattice parameters (Å, degrees): 5.2462 8.3229 10.1955 89.92 89.92 71.73
Positions (direct):
1 La 0.9999 0.0000 0.2497
2 La 0.0001 0.0000 0.7503
3 La 0.3335 0.3332 0.2497
4 La 0.3333 0.3332 0.7503
5 La 0.6667 0.6668 0.2497
6 La 0.6665 0.6668 0.7503
7 Sm 0.1664 0.6672 0.0000
8 Sm 0.1669 0.6662 0.5000
9 Sm 0.5000 0.0000 0.5000
10 Sm 0.8331 0.3338 0.5000
11 Sm 0.8336 0.3328 0.0000
12 Y 0.5000 0.0000 0.0000

***

Here is Mg12Ni6Bi after structural relaxation from Alexandria via LeMat-Bulk. Energies are from GGA-PBE.

Volume ... 18.53 Å³/atom
Fermi-level density of states ... 0.61 states/eV per atom
Symmetry ... Im-3
ΔH_f (0 K) ... -0.0490 eV per atom
Energy ... -3.0860 eV/atom
Theoretical density ... 4.02 g/cm³
Total magnetic moment ... 0.00 μB/f.u.

Lattice parameters (Å, degrees): 7.7045 7.7045 7.7045 109.47 109.47 109.47
Positions (direct):
1 Mg 0.1103 0.8138 0.2966
2 Mg 0.1862 0.2966 0.4828
3 Mg 0.1862 0.7034 0.8897
4 Mg 0.2966 0.1103 0.8138
5 Mg 0.2966 0.4828 0.1862
6 Mg 0.4828 0.1862 0.2966
7 Mg 0.5172 0.8138 0.7034
8 Mg 0.7034 0.5172 0.8138
9 Mg 0.7034 0.8897 0.1862
10 Mg 0.8138 0.2966 0.1103
11 Mg 0.8138 0.7034 0.5172
12 Mg 0.8897 0.1862 0.7034
13 Ni 0.1289 0.6289 0.5000
14 Ni 0.3711 0.5000 0.8711
15 Ni 0.5000 0.1289 0.6289
16 Ni 0.5000 0.8711 0.3711
17 Ni 0.6289 0.5000 0.1289
18 Ni 0.8711 0.3711 0.5000
19 Bi 0.0000 0.0000 0.0000

***

Here is LaSm7Tm4 after structural relaxation from Alexandria via LeMat-Bulk. Energies are from GGA-PBE.

Volume ... 32.81 Å³/atom
Fermi-level density of states ... 1.32 states/eV per atom
Symmetry ... P-1
ΔH_f (0 K) ... 0.0014 eV per atom
Energy ... -4.6526 eV/atom
Theoretical density ... 7.87 g/cm³
Total magnetic moment ... 0.00 μB/f.u.
Energy above the lowest structure with this stoichiometry ... 0 meV/atom

Lattice parameters (Å, degrees): 6.2693 7.2413 8.9223 90.01 103.57 90.00
Positions (direct):
1 La 0.0000 0.0000 0.0000
2 Sm 0.0000 0.5000 0.0000
3 Sm 0.2236 0.0004 0.6642
4 Sm 0.2805 0.7476 0.3372
5 Sm 0.4999 0.2543 0.0015
6 Sm 0.5001 0.7457 0.9985
7 Sm 0.7195 0.2524 0.6628
8 Sm 0.7764 0.9996 0.3358
9 Tm 0.2183 0.5001 0.6639
10 Tm 0.2780 0.2549 0.3355
11 Tm 0.7220 0.7451 0.6645
12 Tm 0.7817 0.4999 0.3361

***

Here is PuHfU2P5 after structural relaxation from Alexandria via LeMat-Bulk. Energies are from GGA-PBE.

Volume ... 23.71 Å³/atom
Fermi-level density of states ... 3.12 states/eV per atom
Symmetry ... P4/mmm
ΔH_f (0 K) ... -0.3882 eV per atom
Energy ... -8.6005 eV/atom
Theoretical density ... 8.20 g/cm³
Total magnetic moment ... 9.15 μB/f.u.

Lattice parameters (Å, degrees): 4.5902 4.5902 10.1286 90.00 90.00 90.00
Positions (direct):
1 Pu 0.0000 0.0000 0.0000
2 Hf 0.0000 0.0000 0.5000
3 U 0.5000 0.5000 0.3074
4 U 0.5000 0.5000 0.6926
5 P 0.0000 0.0000 0.2515
6 P 0.0000 0.0000 0.7485
7 P 0.0000 0.5000 0.5000
8 P 0.5000 0.0000 0.5000
9 P 0.5000 0.5000 0.0000

***

Here is Ba3PaGa2O8 after structural relaxation from Alexandria via LeMat-Bulk. Energies are from GGA-PBE.

Volume ... 17.45 Å³/atom
Fermi-level density of states ... 0.18 states/eV per atom
Symmetry ... P-3m1
Energy ... -6.9339 eV/atom
Theoretical density ... 6.19 g/cm³
Total magnetic moment ... 0.98 μB/f.u.

Lattice parameters (Å, degrees): 6.0595 6.0595 7.6811 90.00 90.00 120.00
Positions (direct):
1 Ba 0.0000 0.0000 0.0000
2 Ba 0.3333 0.6667 0.6677
3 Ba 0.6667 0.3333 0.3323
4 Pa 0.0000 0.0000 0.5000
5 Ga 0.3333 0.6667 0.2133
6 Ga 0.6667 0.3333 0.7867
7 O 0.1705 0.3409 0.3219
8 O 0.1705 0.8295 0.3219
9 O 0.3333 0.6667 0.9808
10 O 0.3409 0.1705 0.6781
11 O 0.6591 0.8295 0.3219
12 O 0.6667 0.3333 0.0192
13 O 0.8295 0.1705 0.6781
14 O 0.8295 0.6591 0.6781

***

Here is La2Pm4In after structural relaxation from Alexandria via LeMat-Bulk. Energies are from GGA-PBE.

Volume ... 33.54 Å³/atom
Fermi-level density of states ... 1.43 states/eV per atom
Symmetry ... Pmna
ΔH_f (0 K) ... -0.0673 eV per atom
Energy ... -4.5810 eV/atom
Theoretical density ... 6.88 g/cm³
Total magnetic moment ... 0.00 μB/f.u.
Energy above the lowest structure with this stoichiometry ... 0 meV/atom

Lattice parameters (Å, degrees): 6.6201 6.4044 11.0764 90.00 90.00 90.00
Positions (direct):
1 La 0.0000 0.2440 0.0460
2 La 0.0000 0.7560 0.9540
3 La 0.5000 0.2440 0.4540
4 La 0.5000 0.7560 0.5460
5 Pm 0.0000 0.0690 0.3470
6 Pm 0.0000 0.9310 0.6530
7 Pm 0.2500 0.3900 0.7500
8 Pm 0.2500 0.6100 0.2500
9 Pm 0.5000 0.0690 0.1530
10 Pm 0.5000 0.9310 0.8470
11 Pm 0.7500 0.3900 0.7500
12 Pm 0.7500 0.6100 0.2500
13 In 0.0000 0.5000 0.5000
14 In 0.5000 0.5000 0.0000

***

Here is BaSrLa2 after structural relaxation from Alexandria via LeMat-Bulk. Energies are from GGA-PBE.

Volume ... 45.20 Å³/atom
Fermi-level density of states ... 1.63 states/eV per atom
Symmetry ... Cm
ΔH_f (0 K) ... 0.1545 eV per atom
Energy ... -3.2103 eV/atom
Theoretical density ... 4.62 g/cm³
Total magnetic moment ... 0.00 μB/f.u.
Energy above the lowest structure with this stoichiometry ... 76 meV/atom

Lattice parameters (Å, degrees): 6.8592 6.8592 7.1371 99.76 99.76 33.17
Positions (direct):
1 Ba 0.0000 0.0000 0.0000
2 Sr 0.7622 0.7622 0.2622
3 La 0.2435 0.2435 0.7312
4 La 0.5202 0.5202 0.5303

***

Here is YZn3Bi after structural relaxation from Alexandria via LeMat-Bulk. Energies are from GGA-PBE.

Volume ... 31.57 Å³/atom
Fermi-level density of states ... 1.09 states/eV per atom
Symmetry ... Pm-3m
ΔH_f (0 K) ... 0.7625 eV per atom
Energy ... -2.0708 eV/atom
Theoretical density ... 5.20 g/cm³
Total magnetic moment ... 0.00 μB/f.u.
Energy above the lowest structure with this stoichiometry ... 184 meV/atom

Lattice parameters (Å, degrees): 5.4045 5.4045 5.4045 90.00 90.00 90.00
Positions (direct):
1 Y 0.0000 0.0000 0.0000
2 Zn 0.0000 0.0000 0.5000
3 Zn 0.0000 0.5000 0.0000
4 Zn 0.5000 0.0000 0.0000
5 Bi 0.5000 0.5000 0.5000

***

Here is TmPuIn2 after structural relaxation from Alexandria via LeMat-Bulk. Energies are from GGA-PBE.

Volume ... 26.10 Å³/atom
Fermi-level density of states ... 2.83 states/eV per atom
Symmetry ... P4/mmm
ΔH_f (0 K) ... -0.2518 eV per atom
Energy ... -6.3218 eV/atom
Theoretical density ... 10.22 g/cm³
Total magnetic moment ... 6.27 μB/f.u.

Lattice parameters (Å, degrees): 4.7818 4.7818 4.5650 90.00 90.00 90.00
Positions (direct):
1 Tm 0.0000 0.0000 0.0000
2 Pu 0.5000 0.5000 0.0000
3 In 0.0000 0.5000 0.5000
4 In 0.5000 0.0000 0.5000

***

Here is Ba2PdSe after structural relaxation from Alexandria via LeMat-Bulk. Energies are from GGA-PBE.

Volume ... 36.53 Å³/atom
Symmetry ... R3m
Energy ... -4.2737 eV/atom
Theoretical density ... 5.23 g/cm³
Total magnetic moment ... 0.00 μB/f.u.

Lattice parameters (Å, degrees): 8.4506 8.4506 8.4506 31.48 31.48 31.48
Positions (direct):
1 Ba 0.0000 0.0000 0.0000
2 Ba 0.1698 0.1698 0.1698
3 Pd 0.5846 0.5846 0.5846
4 Se 0.4183 0.4183 0.4183

***

Here is Ba2CaTl after structural relaxation from Alexandria via LeMat-Bulk. Energies are from GGA-PBE.

Volume ... 46.27 Å³/atom
Fermi-level density of states ... 0.83 states/eV per atom
Symmetry ... P4/mmm
ΔH_f (0 K) ... -0.2045 eV per atom
Energy ... -2.2578 eV/atom
Theoretical density ... 4.66 g/cm³
Total magnetic moment ... 0.00 μB/f.u.
Energy above the lowest structure with this stoichiometry ... 10 meV/atom

Lattice parameters (Å, degrees): 4.3001 4.3001 10.0101 90.00 90.00 90.00
Positions (direct):
1 Ba 0.0000 0.0000 0.2043
2 Ba 0.0000 0.0000 0.7957
3 Ca 0.5000 0.5000 0.5000
4 Tl 0.5000 0.5000 0.0000

***

Here is ZnMo after structural relaxation from Alexandria via LeMat-Bulk. Energies are from GGA-PBE.

Volume ... 27.97 Å³/atom
Fermi-level density of states ... 1.73 states/eV per atom
Symmetry ... Pm-3n
ΔH_f (0 K) ... 2.2664 eV per atom
Energy ... -3.7862 eV/atom
Theoretical density ... 4.79 g/cm³
Total magnetic moment ... 0.86 μB/f.u.
Energy above the lowest structure with this stoichiometry ... 2205 meV/atom

Lattice parameters (Å, degrees): 6.9496 6.9496 6.9496 90.00 90.00 90.00
Positions (direct):
1 Zn 0.0000 0.2500 0.5000
2 Zn 0.0000 0.7500 0.5000
3 Zn 0.2500 0.5000 0.0000
4 Zn 0.5000 0.0000 0.2500
5 Zn 0.5000 0.0000 0.7500
6 Zn 0.7500 0.5000 0.0000
7 Mo 0.0000 0.5000 0.2500
8 Mo 0.0000 0.5000 0.7500
9 Mo 0.2500 0.0000 0.5000
10 Mo 0.5000 0.2500 0.0000
11 Mo 0.5000 0.7500 0.0000
12 Mo 0.7500 0.0000 0.5000

***

Here is La3PmRh2 after structural relaxation from Alexandria via LeMat-Bulk. Energies are from GGA-PBE.

Volume ... 31.46 Å³/atom
Fermi-level density of states ... 1.12 states/eV per atom
Symmetry ... C2/m
ΔH_f (0 K) ... -0.5528 eV per atom
Energy ... -6.2588 eV/atom
Theoretical density ... 6.75 g/cm³
Total magnetic moment ... 0.00 μB/f.u.
Energy above the lowest structure with this stoichiometry ... 0 meV/atom

Lattice parameters (Å, degrees): 8.8548 8.8548 12.2771 121.70 121.70 27.80
Positions (direct):
1 La 0.0608 0.0608 0.1884
2 La 0.1844 0.1844 0.5590
3 La 0.3115 0.3115 0.9385
4 La 0.6885 0.6885 0.0615
5 La 0.8156 0.8156 0.4410
6 La 0.9392 0.9392 0.8116
7 Pm 0.4386 0.4386 0.3112
8 Pm 0.5614 0.5614 0.6888
9 Rh 0.1254 0.1254 0.8754
10 Rh 0.3744 0.3744 0.6262
11 Rh 0.6256 0.6256 0.3738
12 Rh 0.8746 0.8746 0.1246

***

Here is CaPm2Fe after structural relaxation from Alexandria via LeMat-Bulk. Energies are from GGA-PBE.

Volume ... 31.61 Å³/atom
Fermi-level density of states ... 1.18 states/eV per atom
Symmetry ... R-3m
ΔH_f (0 K) ... 0.2143 eV per atom
Energy ... -4.7771 eV/atom
Theoretical density ... 5.07 g/cm³
Total magnetic moment ... 0.40 μB/f.u.
Energy above the lowest structure with this stoichiometry ... 80 meV/atom

Lattice parameters (Å, degrees): 9.8041 9.8041 9.8041 23.02 23.02 23.02
Positions (direct):
1 Ca 0.0000 0.0000 0.0000
2 Pm 0.2206 0.2206 0.2206
3 Pm 0.7794 0.7794 0.7794
4 Fe 0.5000 0.5000 0.5000

***

Here is CaRu3O12 after structural relaxation from Alexandria via LeMat-Bulk. Energies are from GGA-PBE.

Volume ... 21.13 Å³/atom
Fermi-level density of states ... 0.75 states/eV per atom
Symmetry ... R3c
Energy ... -6.5518 eV/atom
Theoretical density ... 2.63 g/cm³
Total magnetic moment ... 2.16 μB/f.u.

Lattice parameters (Å, degrees): 9.9162 9.9162 9.9162 59.16 59.16 59.16
Positions (direct):
1 Ca 0.0000 0.0000 0.0000
2 Ca 0.5000 0.5000 0.5000
3 Ru 0.0908 0.8502 0.4187
4 Ru 0.3502 0.5908 0.9187
5 Ru 0.4187 0.0908 0.8502
6 Ru 0.5908 0.9187 0.3502
7 Ru 0.8502 0.4187 0.0908
8 Ru 0.9187 0.3502 0.5908
9 O 0.0395 0.8798 0.2579
10 O 0.0880 0.3811 0.4140
11 O 0.1480 0.7347 0.9734
12 O 0.1817 0.9935 0.3472
13 O 0.2347 0.6480 0.4734
14 O 0.2579 0.0395 0.8798
15 O 0.3472 0.1817 0.9935
16 O 0.3798 0.5395 0.7579
17 O 0.3811 0.4140 0.0880
18 O 0.4140 0.0880 0.3811
19 O 0.4734 0.2347 0.6480
20 O 0.4935 0.6817 0.8472
21 O 0.5395 0.7579 0.3798
22 O 0.5880 0.9140 0.8811
23 O 0.6480 0.4734 0.2347
24 O 0.6817 0.8472 0.4935
25 O 0.7347 0.9734 0.1480
26 O 0.7579 0.3798 0.5395
27 O 0.8472 0.4935 0.6817
28 O 0.8798 0.2579 0.0395
29 O 0.8811 0.5880 0.9140
30 O 0.9140 0.8811 0.5880
31 O 0.9734 0.1480 0.7347
32 O 0.9935 0.3472 0.1817

***

Here is Pm2Zn3 after structural relaxation from Alexandria via LeMat-Bulk. Energies are from GGA-PBE.

Volume ... 23.23 Å³/atom
Fermi-level density of states ... 0.72 states/eV per atom
Symmetry ... R-3m
ΔH_f (0 K) ... -0.2605 eV per atom
Energy ... -2.9251 eV/atom
Theoretical density ... 6.95 g/cm³
Total magnetic moment ... 0.00 μB/f.u.
Energy above the lowest structure with this stoichiometry ... 57 meV/atom

Lattice parameters (Å, degrees): 6.6847 6.6847 6.6847 41.01 41.01 41.01
Positions (direct):
1 Pm 0.0912 0.0912 0.0912
2 Pm 0.9088 0.9088 0.9088
3 Zn 0.3299 0.3299 0.3299
4 Zn 0.5000 0.5000 0.5000
5 Zn 0.6701 0.6701 0.6701